[1]
VASP calculation (PBE-GGA) on an optimized crystal structure of KRu.

The value obtained for the calculated volume is 195.0 Å³ per cell. For the theoretical density, the calculation gives 2.4 g cm⁻³. The formation energy from the elements comes out at 2515 meV/atom.

Lattice parameters (Å, degrees): 5.8621 5.8621 6.5522 90.00 90.00 120.00
Closest atoms and distances in Å follow each position.
Space group P6_3/mmc (No. 194)
Symmetry-distinct sites (fractional):
K 0.3333 0.6667 0.2500 [2 per cell]  5 Ru 3.28-3.38
Ru 0.3333 0.6667 0.7500 [2 per cell]  5 K 3.28-3.38



[2]
VASP calculation (PBE-GGA) on an optimized crystal structure of KRu.

The value obtained for the calculated volume is 40.0 Å³ per cell. For the theoretical density, the calculation gives 5.8 g cm⁻³. The formation energy from the elements comes out at 1269 meV/atom.

Lattice parameters (Å, degrees): 2.8401 2.8401 5.7324 90.00 90.00 120.00
Closest atoms and distances in Å follow each position.
Space group P-6m2 (No. 187)
Symmetry-distinct sites (fractional):
K 0.0000 0.0000 0.0000 [1 per cell]  6 K 2.84
Ru 0.6667 0.3333 0.5000 [1 per cell]  6 Ru 2.84



[3]
VASP calculation (PBE-GGA) on an optimized crystal structure of K3Ru.

The value obtained for the calculated volume is 163.9 Å³ per cell. For the theoretical density, the calculation gives 2.2 g cm⁻³. The formation energy from the elements comes out at 1054 meV/atom.

Lattice parameters (Å, degrees): 3.7398 3.7398 13.5295 90.00 90.00 120.00
Closest atoms and distances in Å follow each position.
Space group P-6m2 (No. 187)
Symmetry-distinct sites (fractional):
K 0.0000 0.0000 0.0000 [1 per cell]  6 K 3.74
K 0.3333 0.6667 0.3129 [2 per cell]  3 Ru 3.33
Ru 0.0000 0.0000 0.5000 [1 per cell]  6 K 3.33



[4]
VASP calculation (PBE-GGA) on an optimized crystal structure of KRu.

The value obtained for the calculated volume is 235.6 Å³ per cell. For the theoretical density, the calculation gives 4.0 g cm⁻³. The formation energy from the elements comes out at 960 meV/atom.

Lattice parameters (Å, degrees): 3.9943 5.8197 10.1343 90.00 90.00 90.00
Closest atoms and distances in Å follow each position.
Space group Imma (No. 74)
Symmetry-distinct sites (fractional):
K 0.0000 0.2500 0.0993 [4 per cell]  4 K 3.54-3.65, 8 Ru 3.58-3.66
Ru 0.0000 0.2500 0.6947 [4 per cell]  2 Ru 2.29